Record 1
Entry from the Alexandria database: NbGa after structural relaxation (PBE-GGA).

Properties
The calculation puts the total energy at -6.540 eV per atom. The space-group type is Fm-3m, No. 225. The formation energy comes out at 0.008 eV/atom.

Cell: 5.263 5.263 5.263 Å, 90.00 90.00 90.00°
Fractional coordinates of all 8 atoms:
Nb1 0.500 0.500 0.500
Nb2 0.500 0.000 0.000
Nb3 0.000 0.500 0.000
Nb4 0.000 0.000 0.500
Ga1 0.000 0.000 0.000
Ga2 0.000 0.500 0.500
Ga3 0.500 0.000 0.500
Ga4 0.500 0.500 0.000



Record 2
Entry from the Alexandria database: ZnPd4 after structural relaxation (PBE-GGA).

Properties
The calculation puts the total energy at -3.813 eV per atom. The space-group type is Pm-3m, No. 221. The formation energy comes out at 0.596 eV/atom. For the relative energy among the computed polymorphs, the calculation gives 805.3 meV/atom.

Cell: 4.577 4.577 4.577 Å, 90.00 90.00 90.00°
Fractional coordinates of all 5 atoms:
Zn1 0.500 0.500 0.500
Pd1 0.000 0.000 0.000
Pd2 0.500 0.000 0.500
Pd3 0.000 0.500 0.500
Pd4 0.500 0.500 0.000



Record 3
Entry from the Alexandria database: NaNi2BiAu after structural relaxation (PBE-GGA).

Properties
The calculation puts the total energy at -3.339 eV per atom. The space-group type is P4/mmm, No. 123. The formation energy comes out at 0.669 eV/atom.

Cell: 4.805 4.937 4.805 Å, 90.00 90.00 90.00°
Fractional coordinates of all 5 atoms:
Ni1 0.000 0.000 0.500
Ni2 0.500 0.000 0.000
Au1 0.000 0.000 0.000
Bi1 0.500 0.500 0.500
Na1 0.000 0.500 0.000



Record 4
Entry from the Alexandria database: TlCuHgGe2 after structural relaxation (PBE-GGA).

Properties
The calculation puts the total energy at -2.189 eV per atom. The space-group type is P4/mmm, No. 123. The formation energy comes out at 1.011 eV/atom.

Cell: 5.220 5.733 5.220 Å, 90.00 90.00 90.00°
Fractional coordinates of all 5 atoms:
Tl1 0.000 0.500 0.000
Ge1 0.000 0.000 0.500
Ge2 0.500 0.000 0.000
Hg1 0.000 0.000 0.000
Cu1 0.500 0.500 0.500



Record 5
Entry from the Alexandria database: Y2TeAs after structural relaxation (PBE-GGA).

Properties
The calculation puts the total energy at -6.603 eV per atom. The raw formation energy is -1.423 eV per atom. The space-group type is P4/mmm, No. 123. For the relative energy among the computed polymorphs, the calculation gives 92.6 meV/atom.

Cell: 6.005 4.247 4.247 Å, 90.00 90.00 90.00°
Fractional coordinates of all 4 atoms:
Y1 0.000 0.875 0.875
Y2 0.500 0.375 0.375
As1 0.000 0.375 0.375
Te1 0.500 0.875 0.875



Record 6
Entry from the Alexandria database: Ce4GeTeS2 after structural relaxation (PBE-GGA).

Properties
The calculation puts the total energy at -6.495 eV per atom. The raw formation energy is -1.526 eV per atom. The space-group type is P2/m, No. 10.

Cell: 4.180 7.264 7.290 Å, 70.75 90.00 90.00°
Fractional coordinates of all 8 atoms:
Ce1 0.000 0.776 0.730
Ce2 0.000 0.224 0.270
Ce3 0.500 0.767 0.255
Ce4 0.500 0.233 0.745
Ge1 0.000 0.500 0.500
Te1 0.500 0.500 0.000
S1 0.000 0.000 0.000
S2 0.500 0.000 0.500



Record 7
Entry from the Alexandria database: CaMg3Be after structural relaxation (PBE-GGA).

Properties
The calculation puts the total energy at -1.956 eV per atom. The space-group type is Pm-3m, No. 221. The formation energy comes out at 0.146 eV/atom. For the relative energy among the computed polymorphs, the calculation gives 0.0 meV/atom.

Cell: 4.903 4.903 4.903 Å, 90.00 90.00 90.00°
Fractional coordinates of all 5 atoms:
Be1 0.000 0.000 0.000
Ca1 0.500 0.500 0.500
Mg1 0.000 0.500 0.000
Mg2 0.000 0.000 0.500
Mg3 0.500 0.000 0.000



Record 8
Entry from the Alexandria database: LaSc2Ge after structural relaxation (PBE-GGA).

Properties
The calculation puts the total energy at -5.360 eV per atom. The space-group type is R-3m, No. 166. The formation energy comes out at 0.192 eV/atom.

Cell: 11.245 11.245 11.245 Å, 17.16 17.16 17.16°
Fractional coordinates of all 4 atoms:
Sc1 0.918 0.918 0.918
Sc2 0.082 0.082 0.082
Ge1 0.000 0.000 0.000
La1 0.500 0.500 0.500



Record 9
Entry from the Alexandria database: RbCuPb2 after structural relaxation (PBE-GGA).

Properties
The calculation puts the total energy at -2.742 eV per atom. The space-group type is Fm-3m, No. 225. The formation energy comes out at 0.379 eV/atom.

Cell: 5.472 5.472 5.472 Å, 60.00 60.00 60.00°
Fractional coordinates of all 4 atoms:
Pb1 0.250 0.250 0.250
Pb2 0.750 0.750 0.750
Cu1 0.000 0.000 0.000
Rb1 0.500 0.500 0.500



Record 10
Entry from the Alexandria database: SnAsS2Cl after structural relaxation (PBE-GGA).

Properties
The calculation puts the total energy at -3.776 eV per atom. The raw formation energy is -0.025 eV per atom. The space-group type is P4/mmm, No. 123. For the relative energy among the computed polymorphs, the calculation gives 0.0 meV/atom.

Cell: 4.908 4.908 4.843 Å, 90.00 90.00 90.00°
Fractional coordinates of all 5 atoms:
S1 0.000 0.500 0.000
S2 0.500 0.000 0.000
As1 0.000 0.000 0.000
Sn1 0.500 0.500 0.500
Cl1 0.000 0.000 0.500



Record 11
Entry from the Alexandria database: LaSi3Ag after structural relaxation (PBE-GGA).

Properties
The calculation puts the total energy at -4.404 eV per atom. The raw formation energy is 0.406 eV per atom. The space-group type is Pm-3m, No. 221. For the relative energy among the computed polymorphs, the calculation gives 0.0 meV/atom.

Cell: 4.887 4.887 4.887 Å, 90.00 90.00 90.00°
Fractional coordinates of all 5 atoms:
Si1 0.000 0.500 0.000
Si2 0.000 0.000 0.500
Si3 0.500 0.000 0.000
Ag1 0.000 0.000 0.000
La1 0.500 0.500 0.500



Record 12
Entry from the Alexandria database: Hg2OsPb after structural relaxation (PBE-GGA).

Properties
The calculation puts the total energy at -3.252 eV per atom. The space-group type is R3m, No. 160. The formation energy comes out at 0.633 eV/atom.

Cell: 11.289 11.289 11.289 Å, 15.69 15.69 15.69°
Fractional coordinates of all 4 atoms:
Hg1 0.997 0.997 0.997
Hg2 0.237 0.237 0.237
Os1 0.500 0.500 0.500
Pb1 0.765 0.765 0.765



Record 13
Entry from the Alexandria database: AgBi2Pd8 after structural relaxation (PBE-GGA).

Properties
The calculation puts the total energy at -4.914 eV per atom. The space-group type is Immm, No. 71. The formation energy comes out at -0.172 eV/atom. For the relative energy among the computed polymorphs, the calculation gives 0.0 meV/atom.

Cell: 4.102 7.986 7.523 Å, 122.06 105.82 90.00°
Fractional coordinates of all 11 atoms:
Ag1 0.500 0.000 0.000
Bi1 0.163 0.663 0.325
Bi2 0.837 0.337 0.675
Pd1 0.663 0.910 0.326
Pd2 0.337 0.584 0.674
Pd3 0.164 0.164 0.329
Pd4 0.000 0.252 0.000
Pd5 0.836 0.836 0.671
Pd6 0.663 0.416 0.326
Pd7 0.337 0.090 0.674
Pd8 0.000 0.748 0.000



Record 14
Entry from the Alexandria database: Hf2Bi2Te after structural relaxation (PBE-GGA).

Properties
The calculation puts the total energy at -6.345 eV per atom. The raw formation energy is -0.183 eV per atom. The space-group type is Pnma, No. 62. For the relative energy among the computed polymorphs, the calculation gives 20.7 meV/atom.

Cell: 5.932 8.123 12.340 Å, 90.00 90.00 90.00°
Fractional coordinates of all 20 atoms:
Hf1 0.750 0.396 0.743
Hf2 0.250 0.104 0.243
Hf3 0.250 0.604 0.257
Hf4 0.750 0.896 0.757
Hf5 0.750 0.874 0.081
Hf6 0.250 0.626 0.581
Hf7 0.250 0.126 0.919
Hf8 0.750 0.374 0.419
Bi1 0.750 0.663 0.567
Bi2 0.250 0.837 0.067
Bi3 0.250 0.337 0.433
Bi4 0.750 0.163 0.933
Bi5 0.750 0.113 0.254
Bi6 0.250 0.387 0.754
Bi7 0.250 0.887 0.746
Bi8 0.750 0.613 0.246
Te1 0.750 0.136 0.588
Te2 0.250 0.364 0.088
Te3 0.250 0.864 0.412
Te4 0.750 0.636 0.912



Record 15
Entry from the Alexandria database: Co5Tc after structural relaxation (PBE-GGA).

Properties
The calculation puts the total energy at -7.429 eV per atom. The space-group type is F-43m, No. 216. The formation energy comes out at 0.220 eV/atom. For the relative energy among the computed polymorphs, the calculation gives 164.8 meV/atom.

Cell: 4.632 4.632 4.632 Å, 60.00 60.00 60.00°
Fractional coordinates of all 6 atoms:
Co1 0.874 0.375 0.375
Co2 0.750 0.750 0.750
Co3 0.375 0.874 0.375
Co4 0.375 0.375 0.375
Co5 0.375 0.375 0.874
Tc1 0.000 0.000 0.000



Record 16
Entry from the Alexandria database: RbUCu2Cl8 after structural relaxation (PBE-GGA).

Properties
The calculation puts the total energy at -4.181 eV per atom. The raw formation energy is -1.246 eV per atom. The space-group type is P-3m1, No. 164.

Cell: 7.061 7.061 9.199 Å, 90.00 90.00 120.00°
Fractional coordinates of all 12 atoms:
Rb1 0.000 0.000 0.500
U1 0.000 0.000 0.000
Cu1 0.333 0.667 0.701
Cu2 0.667 0.333 0.299
Cl1 0.167 0.334 0.832
Cl2 0.167 0.833 0.832
Cl3 0.666 0.833 0.832
Cl4 0.334 0.167 0.168
Cl5 0.667 0.333 0.532
Cl6 0.333 0.667 0.468
Cl7 0.833 0.666 0.168
Cl8 0.833 0.167 0.168



Record 17
Entry from the Alexandria database: Er3Np2Fe4 after structural relaxation (PBE-GGA).

Properties
The calculation puts the total energy at -8.251 eV per atom. The space-group type is C2/m, No. 12. The formation energy comes out at -0.093 eV/atom.

Cell: 3.986 5.692 8.330 Å, 101.78 90.00 110.49°
Fractional coordinates of all 9 atoms:
Er1 0.375 0.751 0.620
Er2 0.000 0.000 0.000
Er3 0.625 0.249 0.380
Np1 0.327 0.653 0.221
Np2 0.673 0.347 0.779
Fe1 0.732 0.464 0.090
Fe2 0.090 0.179 0.641
Fe3 0.910 0.821 0.359
Fe4 0.268 0.536 0.910



Record 18
Entry from the Alexandria database: ErGeBi after structural relaxation (PBE-GGA).

Properties
The calculation puts the total energy at -4.591 eV per atom. The space-group type is P4_2/mmc, No. 131. The formation energy comes out at -0.237 eV/atom. For the relative energy among the computed polymorphs, the calculation gives 286.9 meV/atom.

Cell: 5.594 7.900 7.900 Å, 90.00 90.00 90.00°
Fractional coordinates of all 12 atoms:
Ge1 0.000 0.500 0.736
Ge2 0.500 0.264 0.500
Ge3 0.500 0.736 0.500
Ge4 0.000 0.500 0.264
Er1 0.000 0.772 0.500
Er2 0.500 0.500 0.772
Er3 0.500 0.500 0.228
Er4 0.000 0.228 0.500
Bi1 0.000 0.750 0.000
Bi2 0.500 0.000 0.750
Bi3 0.500 0.000 0.250
Bi4 0.000 0.250 0.000



Record 19
Entry from the Alexandria database: TaTe2Br5 after structural relaxation (PBE-GGA).

Properties
The calculation puts the total energy at -3.804 eV per atom. The raw formation energy is -0.492 eV per atom. The space-group type is Imm2, No. 44.

Cell: 5.746 8.559 8.558 Å, 82.05 70.39 70.38°
Fractional coordinates of all 8 atoms:
Ta1 0.891 0.000 0.000
Te1 0.699 0.500 0.500
Te2 0.235 0.500 0.500
Br1 0.832 0.995 0.301
Br2 0.129 0.699 0.004
Br3 0.832 0.301 0.996
Br4 0.129 0.005 0.699
Br5 0.477 0.000 0.000



Record 20
Entry from the Alexandria database: Ho8Si3Te4H after structural relaxation (PBE-GGA).

Properties
The calculation puts the total energy at -5.279 eV per atom. The space-group type is R-3m, No. 166.

Cell: 8.302 8.477 8.303 Å, 119.32 120.00 90.00°
Fractional coordinates of all 16 atoms:
Ho1 0.243 0.719 0.976
Ho2 0.243 0.719 0.487
Ho3 0.261 0.282 0.521
Ho4 0.732 0.719 0.976
Ho5 0.268 0.281 0.024
Ho6 0.739 0.718 0.479
Ho7 0.757 0.281 0.513
Ho8 0.757 0.281 0.024
Si1 0.500 0.500 0.000
Si2 0.500 0.500 0.500
Si3 0.000 0.500 0.500
Te1 0.500 0.000 0.000
Te2 0.500 0.000 0.500
Te3 0.000 0.000 0.000
Te4 0.000 0.000 0.500
H1 0.000 0.500 0.000